Te2WCl6 after structural relaxation. Source: Alexandria, functional GGA-PBEsol.

It has space group P-1 (No. 2), with a = 6.274 Å, b = 7.545 Å, c = 11.123 Å, α = 102.56°, β = 104.66° and γ = 91.38°. The distinct sites, in fractional coordinates, are Te at (0.117, 0.088, 0.181), Te at (0.256, 0.861, 0.995), W at (0.302, 0.335, 0.696), Cl at (0.050, 0.796, 0.393), Cl at (0.190, 0.625, 0.691), Cl at (0.248, 0.369, 0.898), Cl at (0.338, 0.546, 0.212), Cl at (0.364, 0.299, 0.498) and Cl at (0.417, 0.043, 0.709).

As for the uncorrected energy: -4.278 eV per atom. Its crystal system is triclinic.

---

RbGeBiS4 after structural relaxation. Source: Alexandria, functional GGA-PBEsol.

It has space group P2_1/c (No. 14), with a = 6.554 Å, b = 6.717 Å, c = 17.863 Å, α = 90.00°, β = 107.87° and γ = 90.00°. The distinct sites, in fractional coordinates, are Rb at (0.228, 0.249, 0.467), Ge at (0.288, 0.735, 0.339), Bi at (0.264, 0.214, 0.722), S at (0.079, 0.674, 0.216), S at (0.082, 0.746, 0.415), S at (0.473, 0.507, 0.638) and S at (0.493, 0.004, 0.353).

As for the uncorrected energy: -4.631 eV per atom. Its crystal system is monoclinic.

---

The lowest uncorrected energy belongs to which entry?
RbGeBiS4

---

What did the second record say?
RbGeBiS4 after structural relaxation. Source: Alexandria, functional GGA-PBEsol.

It has space group P2_1/c (No. 14), with a = 6.554 Å, b = 6.717 Å, c = 17.863 Å, α = 90.00°, β = 107.87° and γ = 90.00°. The distinct sites, in fractional coordinates, are Rb at (0.228, 0.249, 0.467), Ge at (0.288, 0.735, 0.339), Bi at (0.264, 0.214, 0.722), S at (0.079, 0.674, 0.216), S at (0.082, 0.746, 0.415), S at (0.473, 0.507, 0.638) and S at (0.493, 0.004, 0.353).

As for the uncorrected energy: -4.631 eV per atom. Its crystal system is monoclinic.

---

Look up the uncorrected energy of the second one.
-4.631 eV per atom